Entry 1:
Compound: Er6MnTe2
Source: the Alexandria database
Functional: PBE-GGA
Structure: relaxed

Lattice parameters (Å, degrees): 8.2206 8.2206 4.0568 90.00 90.00 120.00
Space group P-62m (No. 189)
One atom of each set of equivalent atoms:
Er 0.0000 0.3922 0.0000 (multiplicity 3)
Er 0.0000 0.7633 0.5000 (multiplicity 3)
Mn 0.0000 0.0000 0.0000 (multiplicity 1)
Te 0.3333 0.6667 0.5000 (multiplicity 2)

Output
ΔE_f (raw) (eV per atom): -0.58
Total energy (eV/cell): -48.08



Entry 2:
Compound: Er5Mn2Te2
Source: the Alexandria database
Functional: PBE-GGA
Structure: relaxed

Lattice parameters (Å, degrees): 15.9395 7.5351 7.5207 90.00 90.00 90.00
Space group Cmce (No. 64)
One atom of each set of equivalent atoms:
Er 0.0000 0.0000 0.0000 (multiplicity 4)
Er 0.1217 0.1762 0.3239 (multiplicity 16)
Mn 0.0000 0.1048 0.6032 (multiplicity 8)
Te 0.2138 0.0000 0.0000 (multiplicity 8)

Output
ΔE_f (raw) (eV per atom): -0.52
Total energy (eV/cell): -208.52



Entry 3:
Compound: ErMnTe3
Source: the Alexandria database
Functional: PBE-GGA
Structure: relaxed

Lattice parameters (Å, degrees): 7.8422 4.1859 8.5419 90.00 94.14 90.00
Space group P2_1/m (No. 11)
One atom of each set of equivalent atoms:
Er 0.1194 0.2500 0.2836 (multiplicity 2)
Mn 0.3527 0.7500 0.8339 (multiplicity 2)
Te 0.1251 0.2500 0.9030 (multiplicity 2)
Te 0.2225 0.7500 0.5347 (multiplicity 2)
Te 0.3999 0.7500 0.1616 (multiplicity 2)

Output
ΔE_f (raw) (eV per atom): -0.71
Total energy (eV/cell): -53.41



Entry 4:
Compound: Er2MnTe
Source: the Alexandria database
Functional: PBE-GGA
Structure: relaxed

Lattice parameters (Å, degrees): 3.7401 3.7401 29.3978 90.00 90.00 120.00
Space group R-3m (No. 166, hexagonal axes)
One atom of each set of equivalent atoms:
Er 0.0000 0.0000 0.0947 (multiplicity 6)
Mn 0.0000 0.0000 0.0000 (multiplicity 3)
Te 0.0000 0.0000 0.5000 (multiplicity 3)

Output
ΔE_f (raw) (eV per atom): 0.18
Total energy (eV/cell): -62.15



Entry 5:
Compound: Er6Mn2Te
Source: the Alexandria database
Functional: PBE-GGA
Structure: relaxed

Lattice parameters (Å, degrees): 9.4599 9.6050 10.0090 90.00 90.00 90.00
Space group Immm (No. 71)
One atom of each set of equivalent atoms:
Er 0.0000 0.1981 0.1891 (multiplicity 8)
Er 0.1862 0.2184 0.5000 (multiplicity 8)
Er 0.2183 0.5000 0.2659 (multiplicity 8)
Mn 0.0000 0.0000 0.3950 (multiplicity 4)
Mn 0.1107 0.0000 0.0000 (multiplicity 4)
Te 0.0000 0.5000 0.0000 (multiplicity 2)
Te 0.0000 0.5000 0.5000 (multiplicity 2)

Output
ΔE_f (raw) (eV per atom): -0.21
Total energy (eV/cell): -202.96



Entry 6:
Compound: Er2MnTl3Te6
Source: the Alexandria database
Functional: PBE-GGA
Structure: relaxed

Lattice parameters (Å, degrees): 7.5429 13.0425 8.3915 90.00 107.57 90.00
Space group C2/m (No. 12)
One atom of each set of equivalent atoms:
Er 0.0000 0.1643 0.0000 (multiplicity 4)
Mn 0.0000 0.5000 0.0000 (multiplicity 2)
Tl 0.0000 0.0000 0.5000 (multiplicity 2)
Tl 0.0000 0.3225 0.5000 (multiplicity 4)
Te 0.2240 0.3423 0.2033 (multiplicity 8)
Te 0.2455 0.5000 0.7857 (multiplicity 4)

Output
ΔE_f (raw) (eV per atom): -0.73
Total energy (eV/cell): -106.00



Result set for magnetic moment: 0.103; 0.232; 0.799; 0.718; 0.197; 0.353 μB/atom, one per record in the order listed.